# Rb2HfTi2

A geometry-optimized Rb2HfTi2 structure (PBE, Alexandria).

a b c (Å): 9.9788 9.9788 3.0836
angles (deg): 90.00 90.00 90.00
Positions (direct):
1 Hf 0.0000 0.0000 0.0000
2 Hf 0.5000 0.5000 0.0000
3 Rb 0.3849 0.8849 0.0000
4 Rb 0.8849 0.6151 0.0000
5 Rb 0.6151 0.1151 0.0000
6 Rb 0.1151 0.3849 0.0000
7 Ti 0.1919 0.6919 0.5000
8 Ti 0.6919 0.8081 0.5000
9 Ti 0.8081 0.3081 0.5000
10 Ti 0.3081 0.1919 0.5000

* energy of formation: 1.72 eV/atom
* Fermi-level density of states: 7.53 states/eV/f.u.
* symmetry: P4/mbm (127)
* energy: -38.19 eV/cell
* energy relative to the lowest polymorph listed for this composition: 0 meV per atom